Here is Li2TaAu after structural relaxation from Alexandria. Energies are from GGA-PBE.

ΔE to the lowest computed polymorph ... 3.3 kJ per mole of atoms
Energy relative to the elements ... 0.17 eV/f.u.

Unit cell a=4.562 b=2.721 c=5.489 alpha=82.72 beta=90.00 gamma=90.00
Atoms (fractional coordinates):
Ta  0.000  0.465  0.549
Au  0.500  0.911  0.725
Li  0.500  0.245  0.197
Li  0.000  0.880  0.029

---

Here is Dy2SCl after structural relaxation from Alexandria. Energies are from GGA-PBE.

Energy relative to the elements, uncorrected ... -6.253 eV/f.u.
ΔE to the lowest computed polymorph ... 1.2 kJ per mole of atoms

Unit cell a=3.722 b=3.722 c=7.768 alpha=76.14 beta=76.14 gamma=60.00
Atoms (fractional coordinates):
Dy  0.264  0.264  0.209
Dy  0.072  0.072  0.785
S  0.667  0.667  0.000
Cl  0.498  0.498  0.506

---

Here is Ca2Tl5Pb after structural relaxation from Alexandria. Energies are from GGA-PBE.

Energy relative to the elements ... -1.97 eV/f.u.

Unit cell a=4.794 b=6.995 c=13.904 alpha=90.00 beta=90.00 gamma=90.00
Atoms (fractional coordinates):
Tl  0.500  0.263  0.372
Tl  0.500  0.237  0.872
Tl  0.000  0.015  0.253
Tl  0.000  0.500  0.500
Tl  0.500  0.737  0.628
Tl  0.000  0.485  0.753
Tl  0.500  0.763  0.128
Tl  0.000  0.985  0.747
Tl  0.000  0.000  0.000
Tl  0.000  0.515  0.247
Ca  0.500  0.742  0.877
Ca  0.500  0.242  0.623
Ca  0.500  0.758  0.377
Ca  0.500  0.258  0.123
Pb  0.000  0.000  0.500
Pb  0.000  0.500  0.000

---

no.,total magnetization (μB/atom)
1,0.000
2,0.000
3,0.000